# 1
Zr3ReAu | PBE-GGA | relaxed

Output
Calculated formation energy (kJ/mol of atoms): 125
Crystal system: cubic
SG: No. 221

Lattice parameters (Å, degrees): 5.047 5.047 5.047 90.00 90.00 90.00
Atoms (fractional coordinates):
1 Re 0.500 0.500 0.500
2 Au 0.000 0.000 0.000
3 Zr 0.000 0.500 0.000
4 Zr 0.000 0.000 0.500
5 Zr 0.500 0.000 0.000

# 2
CaFe3P2 | PBE-GGA | relaxed

Output
Calculated formation energy (kJ/mol of atoms): -49
Crystal system: hexagonal
SG: No. 191

Lattice parameters (Å, degrees): 3.414 5.218 5.218 120.00 90.00 90.00
Atoms (fractional coordinates):
1 Ca 0.000 0.001 0.000
2 Fe 0.500 0.001 0.500
3 Fe 0.500 0.501 0.500
4 Fe 0.500 0.501 0.000
5 P 0.000 0.335 0.667
6 P 0.000 0.668 0.333

# 3
KSb5 | PBE-GGA | relaxed

Output
Crystal system: orthorhombic
SG: No. 38
Formation energy (no corrections) (eV/f.u.): -0.04

Lattice parameters (Å, degrees): 10.224 10.224 4.103 90.00 90.00 151.07
Atoms (fractional coordinates):
1 K 0.005 0.995 0.000
2 Sb 0.333 0.667 0.000
3 Sb 0.644 0.356 0.000
4 Sb 0.430 0.570 0.500
5 Sb 0.754 0.246 0.500
6 Sb 0.167 0.833 0.500

Quick rundown of total energy, same order as above: -34.9; -41.2; -21.8 eV per cell